# 1
The following is a DFT calculation (PBE+U) of crystalline Mn4CuO8 at its relaxed geometry.

Calculated values
Energy = -90.3 eV per formula unit
Offset from the most stable computed form = 0.0 meV per atom

Cell lengths 10.1399, 5.7824, 7.1611 Å; angles 90.00, 130.74, 90.00 degrees
Last column: nearest neighbours and their distance in Å.
Space group C2/m (No. 12)
Inequivalent atoms, fractional coordinates:
Mn  0.0000  0.2491  0.0000 x4  4 O 1.94-1.96
Mn  0.2356  0.5000  0.5089 x4  6 O 1.90-1.98
Cu  0.0000  0.0000  0.5000 x2  4 O 2.00
O  0.0849  0.2269  0.3883 x8  2 Mn 1.96, 1 Cu 2.00
O  0.1663  0.5000  0.1789 x4  3 Mn 1.94-1.98
O  0.1728  0.0000  0.1593 x4  3 Mn 1.90-1.96

---

# 2
The following is a DFT calculation (PBE+U) of crystalline MnCu2O2 at its relaxed geometry.

Calculated values
Energy = -29.5 eV per formula unit

Cell lengths 5.3038, 5.3038, 8.8655 Å; angles 90.00, 90.00, 90.00 degrees
Last column: nearest neighbours and their distance in Å.
Space group I4_1/amd (No. 141, origin choice 2)
Inequivalent atoms, fractional coordinates:
Mn  0.0000  0.2500  0.3750 x4  2 O 2.02
Cu  0.0000  0.0000  0.0000 x8  2 O 1.86
O  0.0000  0.2500  0.1475 x8  2 Cu 1.86, 1 Mn 2.02

---

# 3
The following is a DFT calculation (PBE+U) of crystalline Mn4Cu3O12 at its relaxed geometry.

Calculated values
Energy = -120.0 eV per formula unit

Cell lengths 7.2846, 7.2846, 7.2846 Å; angles 90.00, 90.00, 90.00 degrees
Last column: nearest neighbours and their distance in Å.
Space group Im-3 (No. 204)
Inequivalent atoms, fractional coordinates:
Mn  0.2500  0.2500  0.2500 x8  6 O 1.96
Cu  0.0000  0.0000  0.5000 x6  4 O 1.86
O  0.0000  0.1791  0.3173 x24  1 Cu 1.86, 2 Mn 1.96